A | This record from the Alexandria database describes crystalline NbSn2Mo at its relaxed geometry. The functional is PBE-GGA. Values from VASP.

Structure (Quantum ESPRESSO input):
```
&SYSTEM
  ibrav = 0, nat = 8, ntyp = 3
/
ATOMIC_SPECIES
Nb 92.91 Nb.upf
Sn 118.71 Sn.upf
Mo 95.94 Mo.upf
ATOMIC_POSITIONS angstrom
Nb 0.000 0.000 0.000
Nb 0.000 3.803 1.480
Sn 1.901 1.979 -0.740
Sn 5.627 1.901 0.740
Sn 1.901 1.824 2.220
Sn -1.824 1.901 3.699
Mo 3.803 0.000 1.480
Mo 0.000 0.000 2.960
CELL_PARAMETERS angstrom
-3.803 3.803 2.960
3.803 -3.803 2.960
3.803 3.803 -2.960
```

Results
Crystal system = tetragonal
Total magnetic moment = 1.6 μB/cell
SG = I-42d

=====

B | This record from the Alexandria database describes crystalline NbSn2Mo at its relaxed geometry. The functional is PBE-GGA. Values from VASP.

Structure (Quantum ESPRESSO input):
```
&SYSTEM
  ibrav = 0, nat = 4, ntyp = 3
/
ATOMIC_SPECIES
Nb 92.91 Nb.upf
Sn 118.71 Sn.upf
Mo 95.94 Mo.upf
ATOMIC_POSITIONS angstrom
Nb 0.000 0.000 0.000
Sn 0.000 0.000 2.878
Sn 0.000 0.000 27.925
Mo 0.000 0.000 15.401
CELL_PARAMETERS angstrom
1.541 0.890 10.268
-1.541 0.890 10.268
0.000 -1.780 10.268
```

Results
Crystal system = trigonal
Total magnetic moment = 0.0 μB/cell
SG = R-3m

=====

Result of the stability comparison: B is the most stable of them.

=====

A | This record from the Alexandria database describes crystalline Nb3SnMo at its relaxed geometry. The functional is PBE-GGA. Values from VASP.

Structure (Quantum ESPRESSO input):
```
&SYSTEM
  ibrav = 0, nat = 5, ntyp = 3
/
ATOMIC_SPECIES
Nb 92.91 Nb.upf
Sn 118.71 Sn.upf
Mo 95.94 Mo.upf
ATOMIC_POSITIONS angstrom
Nb 0.000 0.000 2.424
Nb 0.000 2.424 0.000
Nb 2.424 0.000 0.000
Sn 2.424 2.424 2.424
Mo 0.000 0.000 0.000
CELL_PARAMETERS angstrom
4.847 0.000 0.000
0.000 4.847 0.000
0.000 0.000 4.847
```

Results
Crystal system = cubic
Total magnetic moment = 0.0 μB/cell
SG = Pm-3m

=====

B | This record from the Alexandria database describes crystalline Nb3SnMo at its relaxed geometry. The functional is PBE-GGA. Values from VASP.

Structure (Quantum ESPRESSO input):
```
&SYSTEM
  ibrav = 0, nat = 5, ntyp = 3
/
ATOMIC_SPECIES
Nb 92.91 Nb.upf
Sn 118.71 Sn.upf
Mo 95.94 Mo.upf
ATOMIC_POSITIONS angstrom
Nb 0.000 0.000 2.478
Nb 0.000 2.478 0.000
Nb 2.478 0.000 0.000
Sn 0.000 0.000 0.000
Mo 2.478 2.478 2.478
CELL_PARAMETERS angstrom
4.955 0.000 0.000
0.000 4.955 0.000
0.000 0.000 4.955
```

Results
Crystal system = cubic
Total magnetic moment = 0.0 μB/cell
SG = Pm-3m

=====

C | This record from the Alexandria database describes crystalline Nb3SnMo at its relaxed geometry. The functional is PBE-GGA. Values from VASP.

Structure (Quantum ESPRESSO input):
```
&SYSTEM
  ibrav = 0, nat = 20, ntyp = 3
/
ATOMIC_SPECIES
Nb 92.91 Nb.upf
Sn 118.71 Sn.upf
Mo 95.94 Mo.upf
ATOMIC_POSITIONS angstrom
Nb 3.445 3.497 5.319
Nb 3.389 2.152 2.237
Nb 2.559 0.717 5.018
Nb 6.732 3.497 3.009
Nb 3.154 -0.717 2.242
Nb 7.980 2.152 0.539
Nb 2.793 -2.152 5.013
Nb 7.619 0.717 3.310
Nb 4.041 -3.497 2.543
Nb 8.215 -0.717 0.534
Nb 7.385 -2.152 3.315
Nb 7.328 -3.497 0.233
Sn 0.662 0.872 2.876
Sn 1.258 -0.872 0.100
Sn 9.515 0.872 5.452
Sn 10.111 -0.872 2.676
Mo 5.089 1.540 4.164
Mo 5.685 0.983 1.388
Mo 5.089 -0.983 4.164
Mo 5.685 -1.540 1.388
CELL_PARAMETERS angstrom
5.982 -5.769 0.000
5.982 5.769 0.000
-1.191 0.000 5.552
```

Results
Crystal system = monoclinic
Total magnetic moment = 0.0 μB/cell
SG = C2/c

=====

Result of the stability comparison: C is the most stable of them.

=====

A | This record from the Alexandria database describes crystalline SrNb2Mo at its relaxed geometry. The functional is PBE-GGA. Values from VASP.

Structure (Quantum ESPRESSO input):
```
&SYSTEM
  ibrav = 0, nat = 4, ntyp = 3
/
ATOMIC_SPECIES
Sr 87.62 Sr.upf
Nb 92.91 Nb.upf
Mo 95.94 Mo.upf
ATOMIC_POSITIONS angstrom
Sr 0.000 0.000 0.000
Nb 1.716 1.716 1.716
Nb 5.148 5.148 5.148
Mo 3.432 3.432 3.432
CELL_PARAMETERS angstrom
0.000 3.432 3.432
3.432 0.000 3.432
3.432 3.432 0.000
```

Results
Crystal system = cubic
Total magnetic moment = 0.0 μB/cell
SG = Fm-3m

=====

B | This record from the Alexandria database describes crystalline SrNb2Mo at its relaxed geometry. The functional is PBE-GGA. Values from VASP.

Structure (Quantum ESPRESSO input):
```
&SYSTEM
  ibrav = 0, nat = 8, ntyp = 3
/
ATOMIC_SPECIES
Sr 87.62 Sr.upf
Nb 92.91 Nb.upf
Mo 95.94 Mo.upf
ATOMIC_POSITIONS angstrom
Sr 2.576 1.288 2.220
Sr 0.000 1.288 6.661
Nb 0.000 0.000 0.000
Nb 1.288 1.288 -4.441
Nb 1.288 -1.288 4.441
Nb 0.000 2.576 0.000
Mo 2.576 -1.288 6.661
Mo 0.000 3.864 2.220
CELL_PARAMETERS angstrom
-2.576 2.576 8.882
2.576 -2.576 8.882
2.576 2.576 -8.882
```

Results
Crystal system = tetragonal
Total magnetic moment = 0.0 μB/cell
SG = I4_1/amd

=====

Result of the stability comparison: A is the most stable of them.

=====

A | This record from the Alexandria database describes crystalline SrNb3Mo at its relaxed geometry. The functional is PBE-GGA. Values from VASP.

Structure (Quantum ESPRESSO input):
```
&SYSTEM
  ibrav = 0, nat = 5, ntyp = 3
/
ATOMIC_SPECIES
Sr 87.62 Sr.upf
Nb 92.91 Nb.upf
Mo 95.94 Mo.upf
ATOMIC_POSITIONS angstrom
Sr 0.000 0.000 0.000
Nb 0.000 0.000 2.387
Nb 0.000 2.387 0.000
Nb 2.387 0.000 0.000
Mo 2.387 2.387 2.387
CELL_PARAMETERS angstrom
4.775 0.000 0.000
0.000 4.775 0.000
0.000 0.000 4.775
```

Results
Crystal system = cubic
Total magnetic moment = 0.0 μB/cell
SG = Pm-3m

=====

B | This record from the Alexandria database describes crystalline SrNb3Mo at its relaxed geometry. The functional is PBE-GGA. Values from VASP.

Structure (Quantum ESPRESSO input):
```
&SYSTEM
  ibrav = 0, nat = 5, ntyp = 3
/
ATOMIC_SPECIES
Sr 87.62 Sr.upf
Nb 92.91 Nb.upf
Mo 95.94 Mo.upf
ATOMIC_POSITIONS angstrom
Sr 0.000 0.000 0.000
Nb 0.000 2.493 2.493
Nb 2.493 0.000 2.493
Nb 2.493 2.493 0.000
Mo 2.493 2.493 2.493
CELL_PARAMETERS angstrom
4.986 0.000 0.000
0.000 4.986 0.000
0.000 0.000 4.986
```

Results
Crystal system = cubic
Total magnetic moment = 0.0 μB/cell
SG = Pm-3m

=====

Result of the stability comparison: B is the most stable of them.

=====

A | This record from the Alexandria database describes crystalline Sr3NbMo at its relaxed geometry. The functional is PBE-GGA. Values from VASP.

Structure (Quantum ESPRESSO input):
```
&SYSTEM
  ibrav = 0, nat = 5, ntyp = 3
/
ATOMIC_SPECIES
Sr 87.62 Sr.upf
Nb 92.91 Nb.upf
Mo 95.94 Mo.upf
ATOMIC_POSITIONS angstrom
Sr 0.000 0.000 2.836
Sr 0.000 2.836 0.000
Sr 2.836 0.000 0.000
Nb 0.000 0.000 0.000
Mo 2.836 2.836 2.836
CELL_PARAMETERS angstrom
5.673 0.000 0.000
0.000 5.673 0.000
0.000 0.000 5.673
```

Results
Crystal system = cubic
Total magnetic moment = 0.0 μB/cell
SG = Pm-3m

=====

B | This record from the Alexandria database describes crystalline Sr3NbMo at its relaxed geometry. The functional is PBE-GGA. Values from VASP.

Structure (Quantum ESPRESSO input):
```
&SYSTEM
  ibrav = 0, nat = 5, ntyp = 3
/
ATOMIC_SPECIES
Sr 87.62 Sr.upf
Nb 92.91 Nb.upf
Mo 95.94 Mo.upf
ATOMIC_POSITIONS angstrom
Sr 0.000 0.000 2.835
Sr 0.000 2.835 0.000
Sr 2.835 0.000 0.000
Nb 2.835 2.835 2.835
Mo 0.000 0.000 0.000
CELL_PARAMETERS angstrom
5.670 0.000 0.000
0.000 5.670 0.000
0.000 0.000 5.670
```

Results
Crystal system = cubic
Total magnetic moment = 0.7 μB/cell
SG = Pm-3m

=====

Result of the stability comparison: B is the most stable of them.